# SCAN Tl2FeW, single point on PBEsol structure
data_Tl2FeW
_chemical_formula_sum 'Tl4 Fe2 W2'
_space_group_name_H-M_alt 'I m m m'
_space_group_IT_number 71
_space_group_name_Hall '-I 2 2'
_cell_length_a 3.054
_cell_length_b 5.060
_cell_length_c 9.294
_cell_angle_alpha 90.00
_cell_angle_beta 90.00
_cell_angle_gamma 90.00
loop_
_atom_site_label
_atom_site_fract_x
_atom_site_fract_y
_atom_site_fract_z
Tl1 0.000 0.000 0.233
Fe1 0.000 0.500 0.500
W1 0.000 0.500 0.000
# **Total DFT energy (no corrections)**: -57.126 eV per atom
# **Crystal system**: orthorhombic
# **Magnetic moment**: 5.85 Bohr magnetons per cell
# **N(E_F)**: 2.1 states/eV/f.u.